Entry from the Alexandria database: OsPdS2Cl after structural relaxation (GGA-PBE).

Calculated values
- Crystal system: tetragonal
- E_form (uncorrected): 602 meV/atom
- Space-group type: No. 123
- Calculated volume: 20.6 Å³ per atom

```
OsPdS2Cl
1.0
4.511 0.000 0.000
0.000 4.511 0.000
0.000 0.000 5.051
Os Pd S Cl
1 1 2 1
Direct
0.000 0.000 0.000
0.500 0.500 0.500
0.000 0.500 0.000
0.500 0.000 0.000
0.000 0.000 0.500
```